[1]
The following is a SCAN calculation of a crystal of ScTi2PtBr relaxed with PBEsol, from Alexandria via LeMat-Bulk.

The space group is No. 123.

The structure in POSCAR format:
```
ScTi2PtBr
1.0
4.838 0.000 0.000
0.000 4.838 0.000
0.000 0.000 5.121
Ti Pt Sc Br
2 1 1 1
Cartesian
0.000 2.419 0.000 Ti
2.419 0.000 0.000 Ti
0.000 0.000 0.000 Pt
0.000 0.000 2.561 Sc
2.419 2.419 2.561 Br
```

***

[2]
The following is a SCAN calculation of a crystal of PtSe2Br relaxed with PBEsol, from Alexandria via LeMat-Bulk.

The space group is No. 12. The relative energy among the computed polymorphs comes out at 9.8 meV/atom.

The structure in POSCAR format:
```
PtSe2Br
1.0
3.749 0.000 0.000
-1.875 3.319 -0.068
0.000 -0.736 7.065
Se Pt Br
2 1 1
Cartesian
0.000 1.100 1.232 Se
1.875 1.483 5.765 Se
1.875 0.000 0.000 Pt
0.000 -0.368 3.532 Br
```

***

| no. | formation energy from raw total energies (eV/f.u.) |
| --- | --- |
| 1 | -0.97 |
| 2 | -1.40 |